A plane-wave DFT calculation with PBE+U was carried out for a geometry-optimized Mn2As2O7 structure.

The structure in POSCAR format:
```
Mn2As2O7
1.0
5.3988 -0.6076 1.6006
-1.2426 7.2924 0.9486
0.1204 0.6076 5.6298
Mn As O
2 2 7
direct
0.6980 0.0000 0.6980 Mn
0.3020 0.0000 0.3020 Mn
0.1619 0.7475 0.8381 As
0.8381 0.2525 0.1619 As
0.9630 0.8463 0.7147 O
0.2853 0.8463 0.0370 O
0.5693 0.2071 0.4307 O
0.0000 0.5000 0.0000 O
0.4307 0.7929 0.5693 O
0.0370 0.1537 0.2853 O
0.7147 0.1537 0.9630 O
```

crystal system: monoclinic
space group: C2/m, No. 12
polymorph energy (0 for the lowest one): 111.5 meV/atom
theoretical density: 2.92 g cm⁻³